{
  "formula": "TlHg2Mo",
  "functional": "PBE-GGA",
  "state": "relaxed",
  "lattice": [[7.033, 0.021, 0.011], [6.385, 2.950, 0.011], [1.722, 0.381, 4.587]],
  "species": ["Hg", "Tl", "Hg", "Mo"],
  "frac_coords": [[0.057, 0.057, 0.943], [0.250, 0.250, 0.250], [0.443, 0.443, 0.557], [0.750, 0.750, 0.750]],
  "de_polymorph_kj_per_mol_atoms": 2.5,
  "vol_a3_per_fu": 94.5,
  "ef_ev_per_fu": 2.15
}

{
  "formula": "Pm2Pr5Sc2",
  "functional": "PBE-GGA",
  "state": "relaxed",
  "lattice": [[-0.641, -1.490, 3.262], [3.812, -9.469, -1.542], [8.878, -2.433, 2.667]],
  "species": ["Pr", "Pr", "Pm", "Pm", "Pr", "Pr", "Sc", "Pr", "Sc"],
  "frac_coords": [[0.336, 0.988, 0.339], [0.664, 0.012, 0.661], [0.862, 0.651, 0.625], [0.138, 0.349, 0.375], [0.000, 0.000, 0.000], [0.816, 0.331, 0.037], [0.483, 0.334, 0.700], [0.184, 0.669, 0.963], [0.517, 0.666, 0.300]],
  "vol_a3_per_fu": 298.2,
  "ef_ev_per_fu": 0.34
}

{
  "formula": "Sm2Zn4PdPt3",
  "functional": "PBE-GGA",
  "state": "relaxed",
  "lattice": [[4.161, 0.000, 0.000], [0.000, 4.161, 0.000], [0.000, 0.000, 10.926]],
  "species": ["Pt", "Pt", "Pd", "Zn", "Zn", "Sm", "Pt", "Sm", "Zn", "Zn"],
  "frac_coords": [[0.000, 0.500, 0.141], [0.000, 0.000, 0.500], [0.500, 0.500, 0.500], [0.500, 0.000, 0.632], [0.000, 0.500, 0.368], [0.000, 0.500, 0.747], [0.500, 0.000, 0.859], [0.500, 0.000, 0.253], [0.500, 0.500, 0.000], [0.000, 0.000, 0.000]],
  "vol_a3_per_fu": 189.1,
  "ef_ev_per_fu": -7.43
}

{
  "formula": "Ba2ScRhO5",
  "functional": "PBE-GGA",
  "state": "relaxed",
  "lattice": [[-0.677, 0.665, 3.449], [6.852, -3.406, 0.148], [4.794, 9.604, -0.911]],
  "species": ["O", "O", "O", "O", "O", "Ba", "Ba", "Rh", "O", "O", "Ba", "O", "O", "Ba", "Rh", "Sc", "Sc", "O"],
  "frac_coords": [[0.301, 0.602, 0.393], [0.699, 0.398, 0.893], [0.652, 0.304, 0.496], [0.488, 0.976, 0.302], [0.940, 0.880, 0.548], [0.880, 0.759, 0.176], [0.873, 0.746, 0.803], [0.211, 0.421, 0.014], [0.295, 0.591, 0.628], [0.348, 0.696, 0.996], [0.120, 0.241, 0.676], [0.512, 0.024, 0.802], [0.060, 0.120, 0.048], [0.127, 0.254, 0.303], [0.789, 0.579, 0.514], [0.429, 0.859, 0.464], [0.571, 0.141, 0.964], [0.705, 0.409, 0.128]],
  "vol_a3_per_fu": 143.4,
  "raw_formation_energy_ev_per_atom": -2.28
}

{
  "formula": "Ba2PrPaO6",
  "functional": "PBE-GGA",
  "state": "relaxed",
  "lattice": [[6.332, 0.000, -0.028], [0.000, 6.369, 0.000], [0.016, 0.000, 8.958]],
  "species": ["O", "Ba", "O", "O", "Pa", "O", "O", "O", "O", "Pr", "O", "Ba", "Ba", "O", "O", "Pa", "O", "Ba", "Pr", "O"],
  "frac_coords": [[0.728, 0.295, 0.956], [0.491, 0.471, 0.250], [0.204, 0.227, 0.048], [0.085, 0.475, 0.762], [0.500, 0.000, 0.500], [0.585, 0.025, 0.262], [0.704, 0.273, 0.548], [0.228, 0.205, 0.456], [0.796, 0.773, 0.952], [0.500, 0.000, 0.000], [0.772, 0.795, 0.544], [0.509, 0.529, 0.750], [0.009, 0.971, 0.250], [0.915, 0.525, 0.238], [0.415, 0.975, 0.738], [0.000, 0.500, 0.000], [0.296, 0.727, 0.452], [0.991, 0.029, 0.750], [0.000, 0.500, 0.500], [0.272, 0.705, 0.044]],
  "de_polymorph_kj_per_mol_atoms": 0.0,
  "vol_a3_per_fu": 180.6,
  "raw_formation_energy_ev_per_atom": -3.27
}

{
  "formula": "BeTePb2",
  "functional": "PBE-GGA",
  "state": "relaxed",
  "lattice": [[-0.601, 1.450, -3.418], [3.543, -2.379, -1.632], [-2.096, -6.343, -2.322]],
  "species": ["Be", "Pb", "Pb", "Te"],
  "frac_coords": [[0.500, 0.566, 0.786], [0.000, 0.977, 0.941], [0.500, 0.323, 0.210], [0.000, 0.634, 0.563]],
  "de_polymorph_kj_per_mol_atoms": 0.0,
  "vol_a3_per_fu": 113.6,
  "raw_formation_energy_ev_per_atom": 0.15
}

{
  "formula": "TbGe3Ru2",
  "functional": "PBE-GGA",
  "state": "relaxed",
  "lattice": [[4.252, 0.000, 0.000], [-2.126, 5.973, 0.000], [0.000, 0.000, 8.456]],
  "species": ["Tb", "Ge", "Ge", "Ru", "Ge", "Ge", "Ge", "Tb", "Ge", "Ru", "Ru", "Ru"],
  "frac_coords": [[0.810, 0.620, 0.750], [0.380, 0.760, 0.977], [0.380, 0.760, 0.523], [0.474, 0.948, 0.250], [0.620, 0.240, 0.023], [0.620, 0.240, 0.477], [0.871, 0.743, 0.250], [0.190, 0.380, 0.250], [0.129, 0.257, 0.750], [0.000, 0.000, 0.500], [0.000, 0.000, 0.000], [0.526, 0.052, 0.750]],
  "de_polymorph_kj_per_mol_atoms": 0.0,
  "vol_a3_per_fu": 107.4,
  "ef_ev_per_fu": -3.07
}

{
  "formula": "PuTiSbO6",
  "functional": "PBE-GGA",
  "state": "relaxed",
  "lattice": [[-3.213, -2.973, -2.915], [5.152, -1.047, 0.133], [-1.439, -6.090, 7.796]],
  "species": ["Sb", "O", "O", "O", "O", "O", "O", "Pu", "Pu", "Sb", "O", "Ti", "O", "O", "O", "O", "Ti", "O"],
  "frac_coords": [[0.333, 0.667, 0.750], [0.639, 0.636, 0.640], [0.997, 0.361, 0.640], [0.997, 0.636, 0.860], [0.364, 0.361, 0.860], [0.636, 0.997, 0.360], [0.003, 0.639, 0.360], [0.000, 0.000, 0.000], [0.000, 0.000, 0.500], [0.667, 0.333, 0.250], [0.361, 0.997, 0.140], [0.667, 0.333, 0.750], [0.364, 0.003, 0.640], [0.361, 0.364, 0.360], [0.639, 0.003, 0.860], [0.003, 0.364, 0.140], [0.333, 0.667, 0.250], [0.636, 0.639, 0.140]],
  "vol_a3_per_fu": 119.7,
  "raw_formation_energy_ev_per_atom": -2.41
}

{
  "formula": "InMo",
  "functional": "PBE-GGA",
  "state": "relaxed",
  "lattice": [[3.102, 0.000, 0.000], [0.000, 12.690, 0.000], [0.000, 0.000, 6.712]],
  "species": ["In", "Mo", "In", "In", "In", "Mo", "Mo", "In", "Mo", "Mo", "In", "Mo"],
  "frac_coords": [[0.000, 0.756, 0.296], [0.500, 0.895, 0.559], [0.000, 0.244, 0.296], [0.000, 0.744, 0.796], [0.500, 0.000, 0.956], [0.000, 0.000, 0.336], [0.500, 0.105, 0.559], [0.000, 0.256, 0.796], [0.000, 0.500, 0.836], [0.500, 0.395, 0.059], [0.500, 0.500, 0.456], [0.500, 0.605, 0.059]],
  "de_polymorph_kj_per_mol_atoms": 15.9,
  "vol_a3_per_fu": 44.0,
  "ef_ev_per_fu": 0.76
}

{
  "formula": "Cs3TbAg2Cl8",
  "functional": "PBE-GGA",
  "state": "relaxed",
  "lattice": [[-0.656, -2.088, 7.237], [-2.030, -4.765, -5.508], [9.462, -3.766, -0.229]],
  "species": ["Cl", "Ag", "Cl", "Cs", "Cl", "Cl", "Tb", "Cl", "Cl", "Cl", "Cs", "Cs", "Ag", "Cl"],
  "frac_coords": [[0.326, 0.163, 0.654], [0.667, 0.333, 0.805], [0.837, 0.674, 0.654], [0.667, 0.333, 0.363], [0.333, 0.667, 0.959], [0.837, 0.163, 0.654], [0.000, 0.000, 0.500], [0.163, 0.326, 0.346], [0.667, 0.333, 0.041], [0.674, 0.837, 0.346], [0.000, 0.000, 0.000], [0.333, 0.667, 0.637], [0.333, 0.667, 0.195], [0.163, 0.837, 0.346]],
  "vol_a3_per_fu": 504.3,
  "raw_formation_energy_ev_per_atom": -1.63
}

{
  "formula": "TaCrN2",
  "functional": "PBE-GGA",
  "state": "relaxed",
  "lattice": [[2.861, 0.000, 0.000], [1.430, 2.477, 0.000], [1.430, 0.826, 5.447]],
  "species": ["N", "Ta", "N", "Cr"],
  "frac_coords": [[0.244, 0.244, 0.269], [0.667, 0.667, 0.000], [0.091, 0.091, 0.728], [0.499, 0.499, 0.502]],
  "de_polymorph_kj_per_mol_atoms": 9.6,
  "vol_a3_per_fu": 38.6,
  "raw_formation_energy_ev_per_atom": -0.53
}

{
  "formula": "YMgRu",
  "functional": "PBE-GGA",
  "state": "relaxed",
  "lattice": [[4.700, 0.000, 0.000], [0.000, 4.699, 0.000], [-0.001, 0.000, 6.297]],
  "species": ["Y", "Mg", "Ru", "Ru", "Mg", "Y"],
  "frac_coords": [[0.773, 0.099, 0.736], [0.273, 0.599, 0.736], [0.772, 0.599, 0.486], [0.772, 0.599, 0.986], [0.772, 0.099, 0.237], [0.272, 0.599, 0.236]],
  "vol_a3_per_fu": 69.5,
  "ef_ev_per_fu": -0.13
}

{
  "formula": "TbGa8Au6",
  "functional": "PBE-GGA",
  "state": "relaxed",
  "lattice": [[7.534, 0.000, 0.000], [3.767, 6.525, 0.000], [3.767, 2.175, 6.350]],
  "species": ["Ga", "Ga", "Au", "Au", "Ga", "Tb", "Au", "Ga", "Au", "Ga", "Ga", "Ga", "Au", "Au", "Ga"],
  "frac_coords": [[0.874, 0.572, 0.354], [0.126, 0.428, 0.646], [0.569, 0.932, 0.222], [0.431, 0.068, 0.778], [0.800, 0.126, 0.646], [0.000, 0.000, 0.000], [0.068, 0.723, 0.778], [0.572, 0.200, 0.354], [0.932, 0.277, 0.222], [0.428, 0.800, 0.646], [0.665, 0.665, 0.005], [0.335, 0.335, 0.995], [0.723, 0.431, 0.778], [0.277, 0.569, 0.222], [0.200, 0.874, 0.354]],
  "vol_a3_per_fu": 312.2,
  "ef_ev_per_fu": -3.87
}

{
  "formula": "Cs3Ag2PdF9",
  "functional": "PBE-GGA",
  "state": "relaxed",
  "lattice": [[6.386, 0.000, 0.000], [-3.193, 5.530, 0.000], [0.000, 0.000, 7.802]],
  "species": ["F", "F", "Cs", "Cs", "Ag", "F", "F", "F", "F", "Pd", "F", "F", "Ag", "Cs", "F"],
  "frac_coords": [[0.500, 0.000, 0.000], [0.306, 0.153, 0.649], [0.333, 0.667, 0.685], [0.667, 0.333, 0.315], [0.667, 0.333, 0.824], [0.500, 0.500, 0.000], [0.000, 0.500, 0.000], [0.153, 0.847, 0.351], [0.153, 0.306, 0.351], [0.000, 0.000, 0.500], [0.847, 0.694, 0.649], [0.847, 0.153, 0.649], [0.333, 0.667, 0.176], [0.000, 0.000, 0.000], [0.694, 0.847, 0.351]],
  "vol_a3_per_fu": 275.5,
  "raw_formation_energy_ev_per_atom": -1.92
}

{
  "formula": "CaTlCdIn",
  "functional": "PBE-GGA",
  "state": "relaxed",
  "lattice": [[-2.787, 2.941, -2.725], [-3.793, -2.522, 1.158], [-0.704, 2.753, 3.692]],
  "species": ["Ca", "Tl", "In", "Cd"],
  "frac_coords": [[0.500, 0.500, 0.000], [0.500, 0.000, 0.500], [0.000, 0.000, 0.000], [0.000, 0.500, 0.500]],
  "de_polymorph_kj_per_mol_atoms": 0.0,
  "vol_a3_per_fu": 106.9,
  "ef_ev_per_fu": -1.00
}

{
  "formula": "CoTc2Au",
  "functional": "PBE-GGA",
  "state": "relaxed",
  "lattice": [[-1.727, 0.666, -2.510], [-1.185, -2.884, 0.050], [-4.489, 1.908, 3.595]],
  "species": ["Au", "Tc", "Co", "Tc"],
  "frac_coords": [[0.000, 0.000, 0.522], [0.000, 0.000, 0.989], [0.500, 0.500, 0.772], [0.500, 0.500, 0.217]],
  "de_polymorph_kj_per_mol_atoms": 7.6,
  "vol_a3_per_fu": 58.9,
  "ef_ev_per_fu": 1.14
}

{
  "formula": "As2SeS",
  "functional": "PBE-GGA",
  "state": "relaxed",
  "lattice": [[8.537, 0.765, 0.000], [-0.643, 6.809, 0.000], [-3.947, -3.787, 4.337]],
  "species": ["As", "S", "As", "S", "Se", "Se", "As", "As"],
  "frac_coords": [[0.510, 0.409, 0.303], [0.251, 0.501, 0.002], [0.707, 0.107, 0.697], [0.749, 0.499, 0.998], [0.236, 0.986, 0.972], [0.764, 0.014, 0.028], [0.490, 0.591, 0.697], [0.293, 0.893, 0.303]],
  "de_polymorph_kj_per_mol_atoms": 0.0,
  "vol_a3_per_fu": 127.1,
  "raw_formation_energy_ev_per_atom": -0.01
}

{
  "formula": "Dy2PuGa",
  "functional": "PBE-GGA",
  "state": "relaxed",
  "lattice": [[-0.536, -0.104, -3.402], [-2.594, -1.873, -1.279], [-7.771, 8.119, -0.768]],
  "species": ["Pu", "Dy", "Ga", "Dy"],
  "frac_coords": [[0.000, 0.000, 0.000], [0.100, 0.100, 0.699], [0.500, 0.500, 0.500], [0.900, 0.900, 0.301]],
  "de_polymorph_kj_per_mol_atoms": 26.1,
  "vol_a3_per_fu": 114.0,
  "ef_ev_per_fu": 0.28
}

{
  "formula": "InSn2GeH",
  "functional": "PBE-GGA",
  "state": "relaxed",
  "lattice": [[-5.177, 1.051, 2.084], [-2.326, -2.734, -4.400], [0.115, -2.948, 1.771]],
  "species": ["Sn", "Ge", "H", "Sn", "In"],
  "frac_coords": [[0.500, 0.000, 0.000], [0.000, 0.000, 0.000], [0.000, 0.000, 0.500], [0.000, 0.500, 0.000], [0.500, 0.500, 0.500]],
  "de_polymorph_kj_per_mol_atoms": 0.0,
  "vol_a3_per_fu": 111.0
}

{
  "formula": "Ta2VI",
  "functional": "PBE-GGA",
  "state": "relaxed",
  "lattice": [[-1.346, -4.485, 0.321], [-3.066, -1.299, 3.308], [-4.367, -1.232, -1.201]],
  "species": ["V", "I", "Ta", "Ta"],
  "frac_coords": [[0.000, 0.000, 0.000], [0.500, 0.500, 0.500], [0.250, 0.250, 0.250], [0.750, 0.750, 0.750]],
  "de_polymorph_kj_per_mol_atoms": 0.0,
  "vol_a3_per_fu": 73.1,
  "raw_formation_energy_ev_per_atom": 0.86
}

{
  "formula": "PrZnAu4",
  "functional": "PBE-GGA",
  "state": "relaxed",
  "lattice": [[-2.244, 4.543, -0.045], [-1.884, -0.861, 7.011], [7.111, 0.706, 1.997]],
  "species": ["Au", "Zn", "Zn", "Pr", "Au", "Au", "Pr", "Au", "Au", "Au", "Au", "Au"],
  "frac_coords": [[0.000, 0.000, 0.000], [0.868, 0.250, 0.736], [0.132, 0.750, 0.264], [0.612, 0.250, 0.224], [0.213, 0.062, 0.426], [0.601, 0.750, 0.202], [0.388, 0.750, 0.776], [0.399, 0.250, 0.798], [0.213, 0.438, 0.426], [0.787, 0.938, 0.574], [0.787, 0.562, 0.574], [0.000, 0.500, 0.000]],
  "de_polymorph_kj_per_mol_atoms": 3.9,
  "vol_a3_per_fu": 129.2,
  "ef_ev_per_fu": -2.40
}

{
  "formula": "PaTa2S4",
  "functional": "PBE-GGA",
  "state": "relaxed",
  "lattice": [[3.604, 0.000, 0.000], [0.000, 5.917, -1.990], [0.000, 0.112, 6.311]],
  "species": ["Ta", "S", "S", "Ta", "S", "Pa", "S"],
  "frac_coords": [[0.500, 0.000, 0.500], [0.500, 0.274, 0.262], [0.500, 0.726, 0.738], [0.000, 0.500, 0.500], [0.000, 0.256, 0.738], [0.000, 0.000, 0.000], [0.000, 0.744, 0.262]],
  "vol_a3_per_fu": 135.4,
  "raw_formation_energy_ev_per_atom": -1.07
}

{
  "formula": "PmPr6Th",
  "functional": "PBE-GGA",
  "state": "relaxed",
  "lattice": [[-5.150, 0.421, 0.671], [0.661, -0.141, 5.167], [0.872, 10.393, 0.173]],
  "species": ["Pr", "Th", "Pr", "Pr", "Pm", "Pr", "Pr", "Pr"],
  "frac_coords": [[0.000, 0.500, 0.254], [0.000, 0.000, 0.500], [0.500, 0.500, 0.500], [0.500, 0.000, 0.254], [0.000, 0.000, 0.000], [0.500, 0.500, 0.000], [0.000, 0.500, 0.746], [0.500, 0.000, 0.746]],
  "de_polymorph_kj_per_mol_atoms": 0.0,
  "vol_a3_per_fu": 283.2,
  "ef_ev_per_fu": 0.30
}